This record from the Alexandria database describes a relaxed SrLa2Pt crystal. The functional is PBE-GGA.

abc: 5.4562 5.4562 5.4562
angles: 60.00 60.00 60.00
Closest atoms and distances in Å follow each position.
Element x y z (fractional)
Sr1 0.0000 0.0000 0.0000  8 La 3.34
La1 0.2500 0.2500 0.2500  4 Pt 3.34, 4 Sr 3.34
La2 0.7500 0.7500 0.7500  4 Pt 3.34, 4 Sr 3.34
Pt1 0.5000 0.5000 0.5000  8 La 3.34

## Properties
E_form = -0.12 eV/atom
Offset from the most stable computed form = 0.449 eV per atom